(1)
Below is CsZnTe2 after structural relaxation, with properties calculated at the PBE level.

a b c (Å): 4.1412 4.1412 27.6191
angles (deg): 90.00 90.00 120.00
Space group R-3m (No. 166, hexagonal axes)
Unique sites:
Cs: 0.0000 0.0000 0.0000 x3
Zn: 0.0000 0.0000 0.5000 x3
Te: 0.0000 0.0000 0.2247 x6


(2)
Below is CsZnTe2 after structural relaxation, with properties calculated at the PBE level.

a b c (Å): 6.651 6.651 16.717
angles (deg): 90.00 90.00 90.00
Space group I-42d (No. 122)
Unique sites:
Cs: 0.000 0.000 0.000 x4
Zn: 0.000 0.000 0.500 x4
Te: 0.001 0.250 0.625 x8


(3)
Below is CsZnTe after structural relaxation, with properties calculated at the PBE level.

a b c (Å): 4.397 5.509 10.153
angles (deg): 90.00 90.26 90.00
Space group P2/m (No. 10)
Unique sites:
Cs: 0.000 0.000 0.000 x1
Cs: 0.500 0.000 0.500 x1
Zn: 0.001 0.500 0.624 x2
Te: 0.497 0.500 0.223 x2


(4)
Below is CsZnTe after structural relaxation, with properties calculated at the PBE level.

a b c (Å): 4.415 10.349 10.630
angles (deg): 90.00 90.00 90.00
Space group Immm (No. 71)
Unique sites:
Cs: 0.000 0.000 0.214 x4
Zn: 0.000 0.381 0.000 x4
Te: 0.000 0.268 0.500 x4


(5)
Below is CsZn3Te after structural relaxation, with properties calculated at the PBE level.

a b c (Å): 6.844 6.844 6.844
angles (deg): 90.00 90.00 90.00
Space group Pm-3m (No. 221)
Unique sites:
Cs: 0.000 0.000 0.000 x1
Zn: 0.000 0.000 0.500 x3
Te: 0.500 0.500 0.500 x1


(6)
Below is Cs2ZnTe after structural relaxation, with properties calculated at the PBE level.

a b c (Å): 9.048 9.048 9.048
angles (deg): 90.00 90.00 90.00
Space group Fm-3m (No. 225)
Unique sites:
Cs: 0.250 0.250 0.250 x8
Zn: 0.000 0.000 0.000 x4
Te: 0.000 0.000 0.500 x4


(7)
Below is Cs2Zn2Te3 after structural relaxation, with properties calculated at the PBE level.

a b c (Å): 15.313 4.567 9.579
angles (deg): 90.00 124.67 90.00
Space group C2/m (No. 12)
Unique sites:
Cs: 0.062 0.000 0.345 x4
Zn: 0.192 0.500 0.062 x4
Te: 0.000 0.500 0.000 x2
Te: 0.194 0.500 0.774 x4


(8)
Below is Cs2Zn2Te3 after structural relaxation, with properties calculated at the PBE level.

a b c (Å): 18.759 16.185 7.786
angles (deg): 90.00 113.12 90.00
Space group C2/c (No. 15)
Unique sites:
Cs: 0.000 0.068 0.250 x4
Cs: 0.000 0.203 0.750 x4
Cs: 0.103 0.413 0.566 x8
Zn: 0.199 0.222 0.266 x8
Zn: 0.231 0.078 0.804 x8
Te: 0.124 0.360 0.089 x8
Te: 0.159 0.200 0.566 x8
Te: 0.181 0.070 0.094 x8


We obtain E_tot values of -2.47; -2.62; -2.39; -2.42; -0.78; -2.09; -2.67; -2.69 eV per atom for the records listed above, in that order.
We obtain raw formation energy values of -0.37; -0.51; -0.63; -0.67; 0.79; -0.56; -0.72; -0.73 eV per atom for the records listed above, in that order.
We obtain mass density values of 5.5; 4.1; 4.4; 4.5; 2.4; 4.1; 4.7; 4.8 Mg/m³ for the records listed above, in that order.